A relaxed structure of ScGa2Ir2, computed with PBE.

Results
DFT formation energy: -621 meV/atom
VASP energy: -6.64 eV per atom
offset from the most stable computed form: 0.0 meV per atom

Lattice parameters (Å, degrees): 7.4055 7.4055 2.8829 90.00 90.00 90.00
Space group P4/mbm (No. 127)
Inequivalent atoms, fractional coordinates:
Sc: 0.0000 0.0000 0.0000 x2
Ga: 0.1251 0.3749 0.0000 x4
Ir: 0.1739 0.6739 0.5000 x4